1.
Sc2AsIr | GGA-PBE | optimized geometry

Unit cell a=3.116 b=3.116 c=7.848 alpha=90.00 beta=90.00 gamma=90.00
Element x y z (fractional)
Ir  0.500  0.500  0.730
As  0.000  0.000  0.526
Sc  0.000  0.000  0.950
Sc  0.500  0.500  0.295

Properties
- energy above the most stable polymorph in this dataset (meV/atom) = 674.6
- energy relative to the elements (meV/atom) = -385

***

2.
Sc2AsIr | GGA-PBE | optimized geometry

Unit cell a=5.351 b=5.351 c=5.351 alpha=48.06 beta=48.06 gamma=48.06
Element x y z (fractional)
As  0.435  0.435  0.435
Sc  0.020  0.020  0.020
Sc  0.227  0.227  0.227
Ir  0.818  0.818  0.818

Properties
- energy above the most stable polymorph in this dataset (meV/atom) = 284.4
- energy relative to the elements (meV/atom) = -775

***

3.
Sc2AsIr | GGA-PBE | optimized geometry

Unit cell a=3.841 b=3.841 c=6.687 alpha=73.25 beta=73.25 gamma=60.14
Element x y z (fractional)
As  0.750  0.750  0.750
Sc  0.502  0.502  0.495
Sc  0.998  0.998  0.005
Ir  0.250  0.250  0.250

Properties
- energy above the most stable polymorph in this dataset (meV/atom) = 242.3
- energy relative to the elements (meV/atom) = -818

***

4.
Sc2AsIr | GGA-PBE | optimized geometry

Unit cell a=8.819 b=8.819 c=8.819 alpha=23.42 beta=23.42 gamma=23.42
Element x y z (fractional)
Sc  0.105  0.105  0.105
Sc  0.895  0.895  0.895
As  0.000  0.000  0.000
Ir  0.500  0.500  0.500

Properties
- energy above the most stable polymorph in this dataset (meV/atom) = 754.2
- energy relative to the elements (meV/atom) = -306